[1]
The following is a PBE calculation of a geometry-optimized Li6Zn5Pd structure, from the Alexandria database.

Calculated values
symmetry = C2/m
ΔE_f = -0.236 eV per atom

Cell: 3.887 8.841 7.255 Å, 52.46 74.32 63.85°
Fractional coordinates of all 12 atoms:
Li 0.753 0.083 0.328
Li 0.254 0.246 0.000
Li 0.746 0.754 0.000
Li 0.247 0.589 0.328
Li 0.247 0.917 0.672
Li 0.753 0.411 0.672
Zn 0.001 0.669 0.661
Zn 0.501 0.161 0.678
Zn 0.499 0.839 0.322
Zn 0.999 0.331 0.339
Zn 0.500 0.500 0.000
Pd 0.000 0.000 0.000



[2]
The following is a PBE calculation of a geometry-optimized PrYTh2 structure, from the Alexandria database.

Calculated values
ΔE to the lowest computed polymorph = 0.0285 eV/atom
symmetry = R3m
ΔE_f = 0.057 eV per atom

Cell: 3.597 3.597 11.999 Å, 81.38 81.38 60.00°
Fractional coordinates of all 4 atoms:
Th 0.251 0.251 0.246
Th 0.082 0.082 0.754
Pr 0.498 0.498 0.505
Y 0.668 0.668 0.996



What did the second record say?
The following is a PBE calculation of a geometry-optimized PrYTh2 structure, from the Alexandria database.

Calculated values
ΔE to the lowest computed polymorph = 0.0285 eV/atom
symmetry = R3m
ΔE_f = 0.057 eV per atom

Cell: 3.597 3.597 11.999 Å, 81.38 81.38 60.00°
Fractional coordinates of all 4 atoms:
Th 0.251 0.251 0.246
Th 0.082 0.082 0.754
Pr 0.498 0.498 0.505
Y 0.668 0.668 0.996



Q: What is the ΔE_f in the first record?
A: -0.236 eV per atom



Q: Which of these has the lowest ΔE_f?
A: Li6Zn5Pd